# 1
Y3ErTm2P2Os | OQMD via LeMat-Bulk | PBE | optimized geometry; ρ = 8.0 g/cm3; DFT total energy = -61.879 eV/cell
1.0
4.134 0.000 0.000
0.000 6.666 3.840
0.000 -6.666 3.840
Y P Er Tm Os
3 2 1 2 1
direct
0.500 0.409 0.409 Y
0.500 0.590 0.000 Y
0.500 0.000 0.590 Y
0.000 0.667 0.332 P
0.000 0.332 0.667 P
0.000 0.752 0.752 Er
0.000 0.000 0.248 Tm
0.000 0.248 0.000 Tm
0.500 0.002 0.002 Os

=====

# 2
YEr2Tm3P2Os | OQMD via LeMat-Bulk | PBE | optimized geometry; ρ = 9.4 g/cm3; DFT total energy = -57.938 eV/cell
1.0
4.118 0.000 0.000
0.000 6.602 3.836
0.000 -6.602 3.836
Er P Y Tm Os
2 2 1 3 1
direct
0.000 0.406 0.998 Er
0.000 0.998 0.406 Er
0.500 0.332 0.667 P
0.500 0.667 0.332 P
0.000 0.590 0.590 Y
0.500 0.251 0.251 Tm
0.500 0.751 0.999 Tm
0.500 0.999 0.751 Tm
0.000 0.006 0.006 Os

=====

Question: The highest ρ belongs to which entry?
Answer: YEr2Tm3P2Os

=====

Question: What is the formula in the second record?
Answer: YEr2Tm3P2Os